1.
Compound: KGaSn
Source: the Alexandria database
Functional: PBE
Structure: relaxed

Lattice parameters (Å, degrees): 15.0600 4.0889 7.5038 90.00 119.56 90.00
Space group Cm (No. 8)
Inequivalent atoms, fractional coordinates:
K (0.0000, 0.0000, 0.0000)
K (0.1684, 0.5000, 0.6813)
Ga (0.3508, 0.0000, 0.5610)
Ga (0.4507, 0.5000, 0.4736)
Sn (0.2261, 0.5000, 0.2565)
Sn (0.3457, 0.0000, 0.1547)

2.
Compound: ErCu4
Source: the Alexandria database
Functional: PBE
Structure: relaxed

Lattice parameters (Å, degrees): 8.5658 8.5658 8.5658 90.00 90.00 90.00
Space group I-43m (No. 217)
Inequivalent atoms, fractional coordinates:
Er (0.2144, 0.2144, 0.7856)
Cu (0.0000, 0.0000, 0.3550)
Cu (0.0000, 0.2500, 0.5000)
Cu (0.1025, 0.1025, 0.1025)

3.
Compound: FeCoAs2
Source: the Alexandria database
Functional: PBE
Structure: relaxed

Lattice parameters (Å, degrees): 8.2753 3.1179 4.2917 90.00 102.28 90.00
Space group Cm (No. 8)
Inequivalent atoms, fractional coordinates:
Fe (0.0000, 0.0000, 0.0000)
Co (0.2083, 0.0000, 0.6057)
As (0.2229, 0.5000, 0.0573)
As (0.4816, 0.0000, 0.4829)

- ΔE to the lowest computed polymorph: 0.071 eV/atom

4.
Compound: Sr2MnNb
Source: the Alexandria database
Functional: PBE
Structure: relaxed

Lattice parameters (Å, degrees): 7.6634 7.6634 7.6634 90.00 90.00 90.00
Space group Fm-3m (No. 225)
Inequivalent atoms, fractional coordinates:
Sr (0.2500, 0.2500, 0.2500)
Mn (0.0000, 0.0000, 0.0000)
Nb (0.0000, 0.0000, 0.5000)

- ΔE to the lowest computed polymorph: 0.563 eV/atom

5.
Compound: FeNiP
Source: the Alexandria database
Functional: PBE
Structure: relaxed

Lattice parameters (Å, degrees): 3.6998 3.6998 2.7983 90.00 90.00 120.00
Space group P3m1 (No. 156)
Inequivalent atoms, fractional coordinates:
Fe (0.0000, 0.0000, 0.0000)
Ni (0.6667, 0.3333, 0.5118)
P (0.3333, 0.6667, 0.7885)

6.
Compound: AcTh2Cd
Source: the Alexandria database
Functional: PBE
Structure: relaxed

Lattice parameters (Å, degrees): 5.0205 5.0205 5.1601 90.00 90.00 90.00
Space group P4/mmm (No. 123)
Inequivalent atoms, fractional coordinates:
Ac (0.0000, 0.0000, 0.0000)
Th (0.0000, 0.5000, 0.5000)
Cd (0.5000, 0.5000, 0.0000)

- ΔE to the lowest computed polymorph: 0.002 eV/atom

7.
Compound: Lu3Bi5Pb12
Source: the Alexandria database
Functional: PBE
Structure: relaxed

Lattice parameters (Å, degrees): 18.2776 18.2776 18.2776 90.00 90.00 90.00
Space group Ia-3d (No. 230)
Inequivalent atoms, fractional coordinates:
Lu (0.0000, 0.2500, 0.1250)
Bi (0.0000, 0.0000, 0.0000)
Bi (0.0000, 0.2500, 0.3750)
Pb (0.0179, 0.0846, 0.6517)

8.
Compound: MgNiBi2
Source: the Alexandria database
Functional: PBE
Structure: relaxed

Lattice parameters (Å, degrees): 3.6679 3.6679 27.6223 90.00 90.00 120.00
Space group R-3m (No. 166, hexagonal axes)
Inequivalent atoms, fractional coordinates:
Mg (0.0000, 0.0000, 0.0000)
Ni (0.0000, 0.0000, 0.5000)
Bi (0.0000, 0.0000, 0.1078)

9.
Compound: TbTh4Sc2
Source: the Alexandria database
Functional: PBE
Structure: relaxed

Lattice parameters (Å, degrees): 9.2474 9.2474 5.2467 90.00 90.00 90.00
Space group P4_2/mnm (No. 136)
Inequivalent atoms, fractional coordinates:
Tb (0.0000, 0.0000, 0.0000)
Th (0.1165, 0.3625, 0.5000)
Sc (0.1908, 0.8092, 0.5000)

10.
Compound: TbTh2Te2As2
Source: the Alexandria database
Functional: PBE
Structure: relaxed

Lattice parameters (Å, degrees): 5.2856 5.2856 15.8774 90.00 90.00 90.00
Space group I4/mmm (No. 139)
Inequivalent atoms, fractional coordinates:
Tb (0.0000, 0.0000, 0.0000)
Th (0.0000, 0.0000, 0.3908)
Te (0.0000, 0.0000, 0.1911)
As (0.0000, 0.5000, 0.0000)

- Formation energy without anion corrections: -0.923 eV/atom

| no. | raw total energy (Ry/atom) |
| --- | --- |
| 1 | -0.211 |
| 2 | -0.317 |
| 3 | -0.457 |
| 4 | -0.305 |
| 5 | -0.499 |
| 6 | -0.361 |
| 7 | -0.273 |
| 8 | -0.269 |
| 9 | -0.470 |
| 10 | -0.436 |